No. 1
Computed, not measured: TaFe4Co2 after structural relaxation at the GGA-PBE level of DFT.

POSCAR file:
```
TaFe4Co2
1.0
-2.191 2.191 5.989
2.191 -2.191 5.989
2.191 2.191 -5.989
Ta Fe Co
1 4 2
Cartesian
0.000 0.000 0.000
2.191 0.000 0.000
0.000 0.000 2.518
0.000 2.191 0.000
0.000 0.000 9.459
0.000 0.000 4.763
0.000 0.000 7.214
```

Fermi-level density of states: 8.1 states/eV/cell
SG: I4/mmm, No. 139
ΔH_f (0 K): 121.86 kJ/mol of atoms
E_tot: -7.30 eV per atom
crystal system: tetragonal

***

No. 2
Computed, not measured: PrCuAu after structural relaxation at the GGA-PBE level of DFT.

POSCAR file:
```
PrCuAu
1.0
0.000 3.290 3.290
3.290 0.000 3.290
3.290 3.290 0.000
Pr Cu Au
1 1 1
Cartesian
0.000 0.000 0.000
1.645 1.645 1.645
3.290 3.290 3.290
```

Fermi-level density of states: 2.6 states/eV/cell
SG: F-43m, No. 216
ΔH_f (0 K): -32.82 kJ/mol of atoms
E_tot: -4.39 eV per atom
crystal system: cubic
relative energy among the computed polymorphs: 181 meV per atom

***

No. 3
Computed, not measured: SmAl2ZnAg4 after structural relaxation at the GGA-PBE level of DFT.

POSCAR file:
```
SmAl2ZnAg4
1.0
2.246 1.297 8.788
-2.246 1.297 8.788
0.000 -2.594 8.788
Sm Al Zn Ag
1 2 1 4
Cartesian
0.000 0.000 0.000
0.000 0.000 6.522
0.000 0.000 19.842
0.000 0.000 13.182
0.000 0.000 3.520
0.000 0.000 10.549
0.000 0.000 15.815
0.000 0.000 22.844
```

Fermi-level density of states: 4.8 states/eV/cell
SG: R-3m, No. 166
ΔH_f (0 K): -16.06 kJ/mol of atoms
E_tot: -3.28 eV per atom
crystal system: trigonal

***

What did the third record say?
Computed, not measured: SmAl2ZnAg4 after structural relaxation at the GGA-PBE level of DFT.

POSCAR file:
```
SmAl2ZnAg4
1.0
2.246 1.297 8.788
-2.246 1.297 8.788
0.000 -2.594 8.788
Sm Al Zn Ag
1 2 1 4
Cartesian
0.000 0.000 0.000
0.000 0.000 6.522
0.000 0.000 19.842
0.000 0.000 13.182
0.000 0.000 3.520
0.000 0.000 10.549
0.000 0.000 15.815
0.000 0.000 22.844
```

Fermi-level density of states: 4.8 states/eV/cell
SG: R-3m, No. 166
ΔH_f (0 K): -16.06 kJ/mol of atoms
E_tot: -3.28 eV per atom
crystal system: trigonal